Density functional theory data (PBE+U) for a relaxed Ba2Mn2ZnO6 crystal.

Cell lengths 6.4277, 6.4277, 6.4277 Å; angles 54.59, 54.59, 54.59 degrees
Fractional positions:
Ba 0.2263 0.2263 0.2263
Ba 0.7737 0.7737 0.7737
Mn 0.4367 0.4367 0.4367
Mn 0.5633 0.5633 0.5633
Zn 0.0000 0.0000 0.0000
O 0.2449 0.2449 0.7554
O 0.2449 0.7554 0.2449
O 0.2446 0.7551 0.7551
O 0.7554 0.2449 0.2449
O 0.7551 0.2446 0.7551
O 0.7551 0.7551 0.2446

Values from the calculation:
Space-group type: No. 166
Total moment: 2.00 Bohr magnetons per cell
E: -5.956 eV per atom